# meta-GGA SCAN LiCuP3O9, single point on PBEsol structure
# Symmetry   Pbcm, No. 57
# Magnetic moment   1.00 μB per formula unit
# Relative energy among the computed polymorphs   5 meV/atom
# Formation energy (no corrections)   -2171 meV/atom
# VASP energy   -541.03 eV/cell
data_LiCuP3O9
_chemical_formula_sum 'Li4 Cu4 P12 O36'
_symmetry_space_group_name_H-M 'P 1'
_symmetry_Int_Tables_number 1
_cell_length_a 5.063
_cell_length_b 11.505
_cell_length_c 13.263
_cell_angle_alpha 90.00
_cell_angle_beta 90.00
_cell_angle_gamma 90.00
loop_
_symmetry_equiv_pos_as_xyz
'x,y,z'
loop_
_atom_site_label
_atom_site_type_symbol
_atom_site_fract_x
_atom_site_fract_y
_atom_site_fract_z
Cu1 Cu 0.000 0.500 0.500
O1 O 0.660 0.503 0.368
O2 O 0.340 0.003 0.368
O3 O 0.109 0.849 0.546
P1 P 0.456 0.091 0.859
O4 O 0.472 0.151 0.750
O5 O 0.832 0.562 0.625
P2 P 0.456 0.091 0.641
O6 O 0.340 0.497 0.868
O7 O 0.109 0.651 0.454
P3 P 0.544 0.591 0.641
O8 O 0.168 0.062 0.625
O9 O 0.660 0.997 0.632
O10 O 0.528 0.204 0.920
Li1 Li 0.921 0.505 0.250
O11 O 0.472 0.796 0.420
P4 P 0.739 0.250 0.500
O12 O 0.168 0.062 0.875
O13 O 0.891 0.151 0.454
Cu2 Cu 0.000 0.500 0.000
P5 P 0.456 0.409 0.359
O14 O 0.832 0.562 0.875
O15 O 0.891 0.151 0.046
O16 O 0.168 0.438 0.375
O17 O 0.891 0.349 0.546
O18 O 0.472 0.704 0.580
Li2 Li 0.921 0.995 0.750
O19 O 0.660 0.997 0.868
O20 O 0.340 0.497 0.632
O21 O 0.168 0.438 0.125
O22 O 0.528 0.849 0.250
P6 P 0.456 0.409 0.141
P7 P 0.544 0.909 0.359
O23 O 0.472 0.796 0.080
O24 O 0.528 0.296 0.080
Li3 Li 0.079 0.005 0.250
O25 O 0.109 0.651 0.046
P8 P 0.544 0.909 0.141
P9 P 0.261 0.750 0.000
O26 O 0.528 0.296 0.420
O27 O 0.528 0.204 0.580
O28 O 0.340 0.003 0.132
O29 O 0.891 0.349 0.954
P10 P 0.739 0.250 0.000
Li4 Li 0.079 0.495 0.750
P11 P 0.544 0.591 0.859
O30 O 0.832 0.938 0.125
Cu3 Cu 0.000 0.000 0.000
P12 P 0.261 0.750 0.500
O31 O 0.528 0.651 0.750
O32 O 0.660 0.503 0.132
O33 O 0.472 0.704 0.920
O34 O 0.109 0.849 0.954
O35 O 0.472 0.349 0.250
Cu4 Cu 0.000 0.000 0.500
O36 O 0.832 0.938 0.375

# meta-GGA SCAN Li2MgP2, single point on PBEsol structure
# Symmetry   I4/mmm, No. 139
# Magnetic moment   0.00 μB per formula unit
# VASP energy   -33.11 eV/cell
data_Li2MgP2
_chemical_formula_sum 'Li2 Mg1 P2'
_symmetry_space_group_name_H-M 'P 1'
_symmetry_Int_Tables_number 1
_cell_length_a 3.835
_cell_length_b 3.835
_cell_length_c 5.862
_cell_angle_alpha 109.09
_cell_angle_beta 109.09
_cell_angle_gamma 90.00
loop_
_symmetry_equiv_pos_as_xyz
'x,y,z'
loop_
_atom_site_label
_atom_site_type_symbol
_atom_site_fract_x
_atom_site_fract_y
_atom_site_fract_z
P1 P 0.606 0.606 0.212
Li1 Li 0.250 0.750 0.500
Mg1 Mg 0.000 0.000 0.000
P2 P 0.394 0.394 0.788
Li2 Li 0.750 0.250 0.500

# meta-GGA SCAN BeIr2W, single point on PBEsol structure
# Symmetry   P4/mmm, No. 123
# Magnetic moment   0.00 μB per formula unit
# VASP energy   -218.68 eV/cell
data_BeIr2W
_chemical_formula_sum 'Be1 Ir2 W1'
_symmetry_space_group_name_H-M 'P 1'
_symmetry_Int_Tables_number 1
_cell_length_a 2.786
_cell_length_b 2.786
_cell_length_c 6.572
_cell_angle_alpha 90.00
_cell_angle_beta 90.00
_cell_angle_gamma 90.00
loop_
_symmetry_equiv_pos_as_xyz
'x,y,z'
loop_
_atom_site_label
_atom_site_type_symbol
_atom_site_fract_x
_atom_site_fract_y
_atom_site_fract_z
W1 W 0.500 0.500 0.000
Ir1 Ir 0.000 0.000 0.715
Be1 Be 0.500 0.500 0.500
Ir2 Ir 0.000 0.000 0.285

# meta-GGA SCAN La2AlHg, single point on PBEsol structure
# Symmetry   Fm-3m, No. 225
# Magnetic moment   0.74 μB per formula unit
# Relative energy among the computed polymorphs   27 meV/atom
# VASP energy   -164.18 eV/cell
data_La2AlHg
_chemical_formula_sum 'La2 Al1 Hg1'
_symmetry_space_group_name_H-M 'P 1'
_symmetry_Int_Tables_number 1
_cell_length_a 5.387
_cell_length_b 5.387
_cell_length_c 5.387
_cell_angle_alpha 60.00
_cell_angle_beta 60.00
_cell_angle_gamma 60.00
loop_
_symmetry_equiv_pos_as_xyz
'x,y,z'
loop_
_atom_site_label
_atom_site_type_symbol
_atom_site_fract_x
_atom_site_fract_y
_atom_site_fract_z
La1 La 0.750 0.750 0.750
Hg1 Hg 0.000 0.000 0.000
La2 La 0.250 0.250 0.250
Al1 Al 0.500 0.500 0.500